Entry 1:
Material: NiOs
Method: DFT, PBE
State: relaxed

- SG: P4/nmm
- DFT formation energy: 0.142 eV per atom

abc: 2.6852 2.6852 7.0838
angles: 90.00 90.00 90.00
With the nearest neighbours (Å) after each atom.
Positions (direct):
Ni: 0.2500 0.2500 0.1164  8 Ni 2.51-2.69, 4 Os 2.60
Ni: 0.7500 0.7500 0.8836  8 Ni 2.51-2.69, 4 Os 2.60
Os: 0.2500 0.2500 0.6330  4 Ni 2.60, 8 Os 2.68-2.69
Os: 0.7500 0.7500 0.3670  4 Ni 2.60, 8 Os 2.68-2.69


Entry 2:
Material: Rb2SrReO6
Method: DFT, PBE
State: relaxed

- SG: Fm-3m
- Uncorrected formation energy: -1.85 eV/atom

abc: 6.2261 6.2261 6.2261
angles: 60.00 60.00 60.00
With the nearest neighbours (Å) after each atom.
Positions (direct):
Rb: 0.2500 0.2500 0.2500  12 O 3.13
Rb: 0.7500 0.7500 0.7500  12 O 3.13
Sr: 0.0000 0.0000 0.0000  6 O 2.50
Re: 0.5000 0.5000 0.5000  6 O 1.90
O: 0.2843 0.2843 0.7157  1 Re 1.90
O: 0.2843 0.7157 0.2843  1 Re 1.90
O: 0.2843 0.7157 0.7157  1 Re 1.90
O: 0.7157 0.2843 0.2843  1 Re 1.90
O: 0.7157 0.2843 0.7157  1 Re 1.90
O: 0.7157 0.7157 0.2843  1 Re 1.90